The following is a PBE calculation of an optimized crystal structure of Nd3Lu, from the Alexandria database.

Computed properties:
N(E_F), states/eV/cell: 9.2
Mass density, Mg/m³: 7.43
Raw total energy, eV/atom: -4.58

a = 5.769 Å, b = 5.769 Å, c = 5.769 Å
α = 60.00°, β = 60.00°, γ = 60.00°
Atoms (fractional coordinates):
Lu: 0.500 0.500 0.500
Nd: 0.000 0.000 0.000
Nd: 0.750 0.750 0.750
Nd: 0.250 0.250 0.250